Material: Be2TcCl
Method: DFT, GGA-PBE
State: optimized geometry

Values from the calculation:
polymorph energy (0 for the lowest one) = 229 meV/atom
crystal system = monoclinic
magnetization = 0.000 μB per atom
total energy = -0.1676 Ha/atom
formation energy without anion corrections = 0.355 eV/atom
Fermi-level density of states = 0.602 states/eV per atom

abc: 4.3882 4.3882 5.3208
angles: 111.16 111.16 36.10
Sites, in units of the cell vectors:
Be: 0.2369 0.2369 0.3369
Be: 0.7631 0.7631 0.6631
Tc: 0.0000 0.0000 0.5000
Cl: 0.0000 0.0000 0.0000

Material: Li2CaTa
Method: DFT, GGA-PBE
State: optimized geometry

Values from the calculation:
polymorph energy (0 for the lowest one) = 398 meV/atom
crystal system = tetragonal
magnetization = 0.757 μB per atom
total energy = -0.1313 Ha/atom
Fermi-level density of states = 0.802 states/eV per atom

abc: 5.6909 5.6909 5.6909
angles: 135.66 135.66 64.51
Sites, in units of the cell vectors:
Li: 0.0000 0.0000 0.0000
Li: 0.7500 0.2500 0.5000
Ca: 0.5000 0.5000 0.0000
Ta: 0.2500 0.7500 0.5000

Material: CsGeS2Br
Method: DFT, GGA-PBE
State: optimized geometry

Values from the calculation:
crystal system = tetragonal
magnetization = 0.000 μB per atom
total energy = -0.0988 Ha/atom
formation energy without anion corrections = 0.392 eV/atom
Fermi-level density of states = 1.170 states/eV per atom

abc: 5.5946 5.5946 5.0669
angles: 90.00 90.00 90.00
Sites, in units of the cell vectors:
Cs: 0.0000 0.0000 0.0000
Ge: 0.5000 0.5000 0.0000
S: 0.0000 0.5000 0.5000
S: 0.5000 0.0000 0.5000
Br: 0.5000 0.5000 0.5000

Material: AlPC
Method: DFT, GGA-PBE
State: optimized geometry

Values from the calculation:
polymorph energy (0 for the lowest one) = 13 meV/atom
crystal system = monoclinic
magnetization = 0.000 μB per atom
total energy = -0.2252 Ha/atom

abc: 5.0718 5.0718 5.6899
angles: 104.30 104.30 38.76
Sites, in units of the cell vectors:
Al: 0.0000 0.0000 0.0000
Al: 0.5481 0.5481 0.5159
P: 0.2729 0.2729 0.3157
P: 0.7519 0.7519 0.0373
C: 0.0976 0.0976 0.3659
C: 0.5661 0.5661 0.8713

Material: Pr3Y2Zn2
Method: DFT, GGA-PBE
State: optimized geometry

Values from the calculation:
polymorph energy (0 for the lowest one) = 22 meV/atom
crystal system = monoclinic
magnetization = 0.000 μB per atom
total energy = -0.1616 Ha/atom
Fermi-level density of states = 1.191 states/eV per atom

abc: 6.7750 6.7750 9.2910
angles: 114.20 114.20 32.67
Sites, in units of the cell vectors:
Pr: 0.0000 0.0000 0.0000
Pr: 0.1080 0.1080 0.4362
Pr: 0.8920 0.8920 0.5638
Y: 0.3469 0.3469 0.1832
Y: 0.6531 0.6531 0.8168
Zn: 0.3179 0.3179 0.7782
Zn: 0.6821 0.6821 0.2218

Material: AsPt2Rh
Method: DFT, GGA-PBE
State: optimized geometry

Values from the calculation:
crystal system = orthorhombic
magnetization = 0.136 μB per atom
total energy = -0.2208 Ha/atom
Fermi-level density of states = 1.486 states/eV per atom

abc: 2.8908 3.9032 5.5548
angles: 90.00 90.00 90.00
Sites, in units of the cell vectors:
As: 0.0000 0.0000 0.0000
Pt: 0.5000 0.5000 0.2543
Pt: 0.5000 0.5000 0.7457
Rh: 0.0000 0.0000 0.5000